DFT (PBE+U) results for an optimized crystal structure of KSrEuFeO6.

extended XYZ file:
```
10
Lattice="0.000 4.145 4.145 4.145 0.000 4.145 4.145 4.145 0.000" Properties=species:S:1:pos:R:3 pbc="T T T"
K 0.000 0.000 0.000
Sr 4.145 4.145 4.145
Eu 2.073 2.073 2.073
Fe 6.218 6.218 6.218
O 6.218 6.218 4.297
O 6.218 4.297 6.218
O 8.139 6.218 6.218
O 4.297 6.218 6.218
O 6.218 8.139 6.218
O 6.218 6.218 8.139
```

Computed properties:
DFT total energy	-6.568	eV/atom